Record 1
The following is a DFT calculation (meta-GGA SCAN) of SrNiTe at its PBEsol-relaxed geometry. Values from VASP.

Values from the calculation:
- ΔE_f (raw): -20.94 kcal/mol of atoms

The structure in Quantum ESPRESSO input format:
```
&SYSTEM
  ibrav = 0, nat = 3, ntyp = 3
/
ATOMIC_SPECIES
Sr 87.62 Sr.upf
Te 127.60 Te.upf
Ni 58.69 Ni.upf
CELL_PARAMETERS angstrom
-2.547 1.153 -3.279
-1.731 -1.517 3.643
-0.214 4.129 1.618
ATOMIC_POSITIONS angstrom
Sr -2.003 -0.627 1.336
Te -2.382 2.327 -0.163
Ni -0.107 2.064 0.809
```


Record 2
The following is a DFT calculation (meta-GGA SCAN) of Ba2TlSb2 at its PBEsol-relaxed geometry. Values from VASP.

Values from the calculation:
- ΔE_f (raw): -20.32 kcal/mol of atoms

The structure in Quantum ESPRESSO input format:
```
&SYSTEM
  ibrav = 0, nat = 10, ntyp = 3
/
ATOMIC_SPECIES
Sb 121.76 Sb.upf
Tl 204.38 Tl.upf
Ba 137.33 Ba.upf
CELL_PARAMETERS angstrom
4.889 0.000 0.000
0.000 8.589 0.000
0.000 0.000 8.589
ATOMIC_POSITIONS angstrom
Sb 0.000 3.285 7.580
Sb 0.000 7.580 5.304
Sb 0.000 5.304 1.010
Sb 0.000 1.010 3.285
Tl 0.000 0.000 0.000
Tl 0.000 4.295 4.295
Ba 2.445 1.540 5.834
Ba 2.445 5.834 7.049
Ba 2.445 7.049 2.755
Ba 2.445 2.755 1.540
```


Record 3
The following is a DFT calculation (meta-GGA SCAN) of Sr2PbSe at its PBEsol-relaxed geometry. Values from VASP.

Values from the calculation:
- ΔE_f (raw): -27.29 kcal/mol of atoms

The structure in Quantum ESPRESSO input format:
```
&SYSTEM
  ibrav = 0, nat = 4, ntyp = 3
/
ATOMIC_SPECIES
Pb 207.20 Pb.upf
Se 78.96 Se.upf
Sr 87.62 Sr.upf
CELL_PARAMETERS angstrom
4.276 0.005 0.000
-0.006 4.861 0.000
0.000 0.000 6.488
ATOMIC_POSITIONS angstrom
Pb 2.667 1.828 0.000
Se 0.532 4.252 3.244
Sr 0.527 4.255 0.000
Sr 2.673 1.824 3.244
```


Record 4
The following is a DFT calculation (meta-GGA SCAN) of HfCuAs2Se at its PBEsol-relaxed geometry. Values from VASP.

Values from the calculation:
- ΔE_f (raw): 10.04 kcal/mol of atoms

The structure in Quantum ESPRESSO input format:
```
&SYSTEM
  ibrav = 0, nat = 5, ntyp = 4
/
ATOMIC_SPECIES
As 74.92 As.upf
Hf 178.49 Hf.upf
Cu 63.55 Cu.upf
Se 78.96 Se.upf
CELL_PARAMETERS angstrom
-2.189 -0.455 -4.473
0.343 -5.055 0.346
-4.553 -0.155 2.244
ATOMIC_POSITIONS angstrom
As -2.276 -0.077 1.122
As 0.171 -2.527 0.173
Hf 0.000 0.000 0.000
Cu -3.200 -2.832 -0.941
Se -1.095 -0.227 -2.236
```


Record 5
The following is a DFT calculation (meta-GGA SCAN) of ZrScAl2 at its PBEsol-relaxed geometry. Values from VASP.

Values from the calculation:
- Excess energy over the best structure of this formula in the dataset: 0.0135 eV per atom
- Formation energy from the elements: -0.453 eV per atom

The structure in Quantum ESPRESSO input format:
```
&SYSTEM
  ibrav = 0, nat = 4, ntyp = 3
/
ATOMIC_SPECIES
Sc 44.96 Sc.upf
Al 26.98 Al.upf
Zr 91.22 Zr.upf
CELL_PARAMETERS angstrom
4.272 0.000 0.000
0.000 4.272 0.000
-2.136 -2.136 4.099
ATOMIC_POSITIONS angstrom
Sc 2.136 2.136 0.000
Al 0.000 2.136 2.050
Al 2.136 0.000 2.050
Zr 0.000 0.000 0.000
```


Record 6
The following is a DFT calculation (meta-GGA SCAN) of IrOsRh at its PBEsol-relaxed geometry. Values from VASP.

Values from the calculation:
- Excess energy over the best structure of this formula in the dataset: 0.6212 eV per atom
- Formation energy from the elements: 0.609 eV per atom

The structure in Quantum ESPRESSO input format:
```
&SYSTEM
  ibrav = 0, nat = 3, ntyp = 3
/
ATOMIC_SPECIES
Ir 192.22 Ir.upf
Os 190.23 Os.upf
Rh 102.91 Rh.upf
CELL_PARAMETERS angstrom
4.125 0.000 0.000
2.062 3.572 0.000
2.062 1.191 3.368
ATOMIC_POSITIONS angstrom
Ir 4.125 2.382 1.684
Os 2.062 1.191 0.842
Rh 0.000 0.000 0.000
```


Record 7
The following is a DFT calculation (meta-GGA SCAN) of P3Cl at its PBEsol-relaxed geometry. Values from VASP.

Values from the calculation:
- ΔE_f (raw): 8.34 kcal/mol of atoms
- Excess energy over the best structure of this formula in the dataset: 0.0000 eV per atom

The structure in Quantum ESPRESSO input format:
```
&SYSTEM
  ibrav = 0, nat = 4, ntyp = 2
/
ATOMIC_SPECIES
P 30.97 P.upf
Cl 35.45 Cl.upf
CELL_PARAMETERS angstrom
-0.773 -0.037 3.379
-1.288 -2.872 1.451
5.214 -2.944 2.937
ATOMIC_POSITIONS angstrom
P 2.061 -4.288 5.757
P 1.577 -2.927 3.884
P 1.093 -1.565 2.010
Cl 0.000 0.000 0.000
```


Record 8
The following is a DFT calculation (meta-GGA SCAN) of LiRe2SnN at its PBEsol-relaxed geometry. Values from VASP.

Values from the calculation:
- ΔE_f (raw): 62.61 kcal/mol of atoms

The structure in Quantum ESPRESSO input format:
```
&SYSTEM
  ibrav = 0, nat = 5, ntyp = 4
/
ATOMIC_SPECIES
Re 186.21 Re.upf
Li 6.94 Li.upf
Sn 118.71 Sn.upf
N 14.01 N.upf
CELL_PARAMETERS angstrom
4.128 0.000 0.000
0.000 5.098 0.000
0.000 0.000 5.098
ATOMIC_POSITIONS angstrom
Re 0.000 0.000 2.549
Re 0.000 2.549 0.000
Li 2.064 2.549 2.549
Sn 0.000 0.000 0.000
N 2.064 0.000 0.000
```


Record 9
The following is a DFT calculation (meta-GGA SCAN) of Zr2TlIn at its PBEsol-relaxed geometry. Values from VASP.

Values from the calculation:
- Excess energy over the best structure of this formula in the dataset: 0.1852 eV per atom
- Formation energy from the elements: -0.182 eV per atom

The structure in Quantum ESPRESSO input format:
```
&SYSTEM
  ibrav = 0, nat = 4, ntyp = 3
/
ATOMIC_SPECIES
Tl 204.38 Tl.upf
Zr 91.22 Zr.upf
In 114.82 In.upf
CELL_PARAMETERS angstrom
-0.719 3.489 3.460
2.273 -0.361 4.401
3.671 3.137 1.164
ATOMIC_POSITIONS angstrom
Tl 2.612 3.132 4.513
Zr 1.306 1.566 2.256
Zr 3.919 4.699 6.769
In 0.000 0.000 0.000
```


Record 10
The following is a DFT calculation (meta-GGA SCAN) of BeRe2Ru at its PBEsol-relaxed geometry. Values from VASP.

Values from the calculation:
- Excess energy over the best structure of this formula in the dataset: 0.0000 eV per atom
- Formation energy from the elements: -0.110 eV per atom

The structure in Quantum ESPRESSO input format:
```
&SYSTEM
  ibrav = 0, nat = 4, ntyp = 3
/
ATOMIC_SPECIES
Re 186.21 Re.upf
Be 9.01 Be.upf
Ru 101.07 Ru.upf
CELL_PARAMETERS angstrom
2.968 0.000 0.000
0.000 4.153 0.000
-1.484 -2.076 4.176
ATOMIC_POSITIONS angstrom
Re 1.484 2.076 2.188
Re 0.000 0.000 1.988
Be 1.484 0.000 0.000
Ru 0.000 2.076 0.000
```


Record 11
The following is a DFT calculation (meta-GGA SCAN) of LiNiRu3 at its PBEsol-relaxed geometry. Values from VASP.

Values from the calculation:
- Formation energy from the elements: 1.244 eV per atom

The structure in Quantum ESPRESSO input format:
```
&SYSTEM
  ibrav = 0, nat = 5, ntyp = 3
/
ATOMIC_SPECIES
Ru 101.07 Ru.upf
Li 6.94 Li.upf
Ni 58.69 Ni.upf
CELL_PARAMETERS angstrom
3.958 0.000 0.000
0.000 3.958 0.000
0.000 0.000 3.958
ATOMIC_POSITIONS angstrom
Ru 0.000 1.979 0.000
Ru 0.000 0.000 1.979
Ru 1.979 0.000 0.000
Li 0.000 0.000 0.000
Ni 1.979 1.979 1.979
```


Record 12
The following is a DFT calculation (meta-GGA SCAN) of P4S7 at its PBEsol-relaxed geometry. Values from VASP.

Values from the calculation:
- ΔE_f (raw): -5.37 kcal/mol of atoms

The structure in Quantum ESPRESSO input format:
```
&SYSTEM
  ibrav = 0, nat = 44, ntyp = 2
/
ATOMIC_SPECIES
P 30.97 P.upf
S 32.06 S.upf
CELL_PARAMETERS angstrom
6.766 0.079 0.000
-0.836 8.929 0.000
0.000 0.000 17.047
ATOMIC_POSITIONS angstrom
P 1.313 6.433 10.651
P 0.816 7.000 2.128
P 4.617 2.575 6.396
P 5.114 2.008 14.919
P 2.975 5.874 12.206
P 5.919 7.638 3.683
P 2.954 3.134 4.841
P 0.011 1.370 13.364
P 4.288 6.580 9.269
P 4.606 6.933 0.746
P 1.642 2.428 7.778
P 1.323 2.076 16.302
P 3.974 0.107 11.425
P 5.757 4.476 2.901
P 1.956 8.901 5.622
P 0.172 4.532 14.146
S 4.470 8.616 9.844
S 4.424 4.897 1.320
S 1.460 0.392 7.204
S 1.505 4.112 15.727
S 5.555 6.290 7.841
S 3.340 7.223 16.365
S 0.375 2.719 9.206
S 2.590 1.786 0.683
S 4.163 1.994 11.854
S 5.568 2.589 3.331
S 1.767 7.014 5.193
S 0.362 6.419 13.717
S 2.291 6.204 8.779
S -0.162 7.229 0.255
S 3.639 2.804 8.268
S 6.092 1.779 16.792
S 4.606 5.363 10.938
S 4.289 8.150 2.414
S 1.324 3.645 6.109
S 1.641 0.859 14.633
S 3.529 7.759 13.029
S 5.366 5.754 4.505
S 2.401 1.250 4.019
S 0.564 3.255 12.542
S 1.177 8.540 10.893
S 0.951 4.894 2.369
S 4.752 0.469 6.155
S 4.979 4.115 14.678
```


Record 13
The following is a DFT calculation (meta-GGA SCAN) of YTe2Ru at its PBEsol-relaxed geometry. Values from VASP.

Values from the calculation:
- ΔE_f (raw): -5.82 kcal/mol of atoms

The structure in Quantum ESPRESSO input format:
```
&SYSTEM
  ibrav = 0, nat = 4, ntyp = 3
/
ATOMIC_SPECIES
Ru 101.07 Ru.upf
Te 127.60 Te.upf
Y 88.91 Y.upf
CELL_PARAMETERS angstrom
-0.932 -0.117 3.378
-1.053 -3.134 -1.168
6.450 -2.795 1.683
ATOMIC_POSITIONS angstrom
Ru -0.993 -1.626 1.105
Te 1.424 -0.617 0.372
Te 5.027 -2.178 1.312
Y 2.232 -3.023 1.947
```


Record 14
The following is a DFT calculation (meta-GGA SCAN) of BaTe2Br at its PBEsol-relaxed geometry. Values from VASP.

Values from the calculation:
- ΔE_f (raw): -31.97 kcal/mol of atoms
- Excess energy over the best structure of this formula in the dataset: 0.0000 eV per atom

The structure in Quantum ESPRESSO input format:
```
&SYSTEM
  ibrav = 0, nat = 4, ntyp = 3
/
ATOMIC_SPECIES
Te 127.60 Te.upf
Ba 137.33 Ba.upf
Br 79.90 Br.upf
CELL_PARAMETERS angstrom
-4.259 -0.014 1.184
-0.298 -4.267 -1.122
1.789 -1.810 6.413
ATOMIC_POSITIONS angstrom
Te 0.222 -0.795 0.788
Te -2.057 -2.936 0.819
Ba 0.801 -3.666 2.838
Br -0.989 -1.733 4.675
```


Record 15
The following is a DFT calculation (meta-GGA SCAN) of Co4Re at its PBEsol-relaxed geometry. Values from VASP.

Values from the calculation:
- Formation energy from the elements: 0.159 eV per atom

The structure in Quantum ESPRESSO input format:
```
&SYSTEM
  ibrav = 0, nat = 5, ntyp = 2
/
ATOMIC_SPECIES
Re 186.21 Re.upf
Co 58.93 Co.upf
CELL_PARAMETERS angstrom
-3.126 1.409 -0.792
-3.340 -2.643 0.661
-1.893 2.043 3.290
ATOMIC_POSITIONS angstrom
Re 0.000 0.000 0.000
Co -6.014 1.179 2.378
Co -2.346 -0.370 0.780
Co -3.685 1.527 1.626
Co -4.674 -0.718 1.533
```


Record 16
The following is a DFT calculation (meta-GGA SCAN) of MoPdRuRh at its PBEsol-relaxed geometry. Values from VASP.

Values from the calculation:
- Formation energy from the elements: -0.023 eV per atom

The structure in Quantum ESPRESSO input format:
```
&SYSTEM
  ibrav = 0, nat = 4, ntyp = 4
/
ATOMIC_SPECIES
Ru 101.07 Ru.upf
Mo 95.94 Mo.upf
Rh 102.91 Rh.upf
Pd 106.42 Pd.upf
CELL_PARAMETERS angstrom
2.732 0.000 0.000
-1.366 2.366 0.000
0.000 0.000 8.741
ATOMIC_POSITIONS angstrom
Ru 1.366 0.789 5.392
Mo 0.000 0.000 3.296
Rh 1.366 0.789 1.168
Pd 0.000 0.000 7.625
```


Record 17
The following is a DFT calculation (meta-GGA SCAN) of CrCuSe2 at its PBEsol-relaxed geometry. Values from VASP.

Values from the calculation:
- ΔE_f (raw): 0.03 kcal/mol of atoms
- Excess energy over the best structure of this formula in the dataset: 0.5979 eV per atom

The structure in Quantum ESPRESSO input format:
```
&SYSTEM
  ibrav = 0, nat = 4, ntyp = 3
/
ATOMIC_SPECIES
Cr 52.00 Cr.upf
Cu 63.55 Cu.upf
Se 78.96 Se.upf
CELL_PARAMETERS angstrom
-1.569 -0.308 4.158
0.628 -3.734 2.347
2.819 -0.015 3.450
ATOMIC_POSITIONS angstrom
Cr 0.939 -2.029 4.977
Cu 0.000 0.000 0.000
Se 0.469 -1.014 2.489
Se 1.408 -3.043 7.466
```


Record 18
The following is a DFT calculation (meta-GGA SCAN) of Sr5Ca4 at its PBEsol-relaxed geometry. Values from VASP.

Values from the calculation:
- Formation energy from the elements: 0.016 eV per atom

The structure in Quantum ESPRESSO input format:
```
&SYSTEM
  ibrav = 0, nat = 9, ntyp = 2
/
ATOMIC_SPECIES
Sr 87.62 Sr.upf
Ca 40.08 Ca.upf
CELL_PARAMETERS angstrom
-1.665 -3.339 4.332
-1.059 -8.406 -3.113
7.354 -3.378 3.996
ATOMIC_POSITIONS angstrom
Sr 0.000 0.000 0.000
Sr 3.757 -4.471 5.544
Sr 1.932 -2.247 2.784
Sr -1.815 -7.801 0.836
Sr -0.909 -3.944 0.384
Ca 1.814 -6.689 -0.686
Ca 4.482 -5.095 1.569
Ca 1.053 -6.223 3.155
Ca 3.577 -8.901 2.061
```


Record 19
The following is a DFT calculation (meta-GGA SCAN) of Cs2TmCl5 at its PBEsol-relaxed geometry. Values from VASP.

Values from the calculation:
- ΔE_f (raw): -56.79 kcal/mol of atoms

The structure in Quantum ESPRESSO input format:
```
&SYSTEM
  ibrav = 0, nat = 32, ntyp = 3
/
ATOMIC_SPECIES
Cs 132.91 Cs.upf
Tm 168.93 Tm.upf
Cl 35.45 Cl.upf
CELL_PARAMETERS angstrom
7.306 0.000 0.000
0.000 9.377 0.000
0.000 0.000 15.044
ATOMIC_POSITIONS angstrom
Cs 5.480 7.818 8.789
Cs 1.827 1.559 6.256
Cs 1.827 6.248 1.266
Cs 5.480 3.129 13.778
Cs 5.480 4.948 4.366
Cs 1.827 4.429 10.678
Cs 1.827 9.118 11.889
Cs 5.480 0.260 3.156
Tm 5.480 7.692 14.065
Tm 1.827 1.685 0.980
Tm 1.827 6.374 6.542
Tm 5.480 3.003 8.502
Cl 5.480 9.209 12.025
Cl 1.827 0.168 3.020
Cl 1.827 4.857 4.502
Cl 5.480 4.520 10.542
Cl 0.043 6.223 13.249
Cl 7.263 3.154 1.796
Cl 7.263 7.842 5.727
Cl 3.696 3.154 1.796
Cl 0.043 1.535 9.318
Cl 3.610 6.223 13.249
Cl 3.610 1.535 9.318
Cl 3.696 7.842 5.727
Cl 5.480 6.651 1.379
Cl 1.827 2.727 13.665
Cl 1.827 7.415 8.901
Cl 5.480 1.962 6.143
Cl 3.653 0.000 0.000
Cl 3.653 4.689 7.522
Cl 0.000 0.000 0.000
Cl 0.000 4.689 7.522
```


Record 20
The following is a DFT calculation (meta-GGA SCAN) of LiTa2Br at its PBEsol-relaxed geometry. Values from VASP.

Values from the calculation:
- ΔE_f (raw): 1.92 kcal/mol of atoms
- Excess energy over the best structure of this formula in the dataset: 0.0000 eV per atom

The structure in Quantum ESPRESSO input format:
```
&SYSTEM
  ibrav = 0, nat = 4, ntyp = 3
/
ATOMIC_SPECIES
Br 79.90 Br.upf
Li 6.94 Li.upf
Ta 180.95 Ta.upf
CELL_PARAMETERS angstrom
-3.030 -0.189 0.320
1.258 -2.758 -0.363
0.936 -0.684 8.450
ATOMIC_POSITIONS angstrom
Br 0.458 -0.335 4.134
Li -0.633 -1.658 2.263
Ta 0.925 -0.676 8.349
Ta -0.182 -1.988 6.335
```


| no. | E_tot (eV per cell) |
| --- | --- |
| 1 | -78.4 |
| 2 | -460.8 |
| 3 | -145.1 |
| 4 | -136.2 |
| 5 | -62.2 |
| 6 | -174.9 |
| 7 | -37.7 |
| 8 | -176.2 |
| 9 | -167.9 |
| 10 | -181.8 |
| 11 | -116.8 |
| 12 | -446.2 |
| 13 | -138.2 |
| 14 | -139.1 |
| 15 | -139.5 |
| 16 | -136.3 |
| 17 | -73.7 |
| 18 | -149.9 |
| 19 | -748.2 |
| 20 | -154.7 |